## Li3V5O12 (PBE with a Hubbard U)

Data for a geometry-optimized Li3V5O12 structure.

Values from the calculation:
space group	C2
uncorrected energy	-142.778	eV for the cell shown

a = 5.6537 Å, b = 6.8945 Å, c = 6.8948 Å
α = 103.55°, β = 72.92°, γ = 107.08°
Atoms (fractional coordinates):
Li1 0.7500 0.0915 0.0915
Li2 0.2499 0.2874 0.2875
Li3 0.7495 0.7301 0.7305
V1 0.7306 0.1802 0.6247
V2 0.7694 0.6247 0.1801
V3 0.2500 0.9282 0.9282
V4 0.2004 0.3861 0.8403
V5 0.2996 0.8402 0.3860
O1 0.6393 0.0166 0.8050
O2 0.8608 0.8050 0.0166
O3 0.6704 0.0253 0.3985
O4 0.8297 0.3985 0.0252
O5 0.1689 0.2038 0.0021
O6 0.3311 0.0021 0.2038
O7 0.5553 0.3649 0.6860
O8 0.9448 0.6859 0.3648
O9 0.0636 0.2950 0.5937
O10 0.4365 0.5937 0.2949
O11 0.3140 0.6531 0.8875
O12 0.1862 0.8876 0.6530